An optimized crystal structure of Ca2LaAu, computed with GGA-PBE.

```
data_Ca2LaAu
_chemical_formula_sum 'Ca2 La1 Au1'
_symmetry_space_group_name_H-M 'P 1'
_symmetry_Int_Tables_number 1
_symmetry_space_group_name_Hall 'P 1'
_cell_length_a 5.5194
_cell_length_b 5.5194
_cell_length_c 5.5194
_cell_angle_alpha 120.07
_cell_angle_beta 120.07
_cell_angle_gamma 89.88
loop_
_atom_site_label
_atom_site_fract_x
_atom_site_fract_y
_atom_site_fract_z
Ca1 0.0000 0.0000 0.0000
Ca2 0.7500 0.2500 0.5000
La1 0.5000 0.5000 0.0000
Au1 0.2500 0.7500 0.5000
```

Output
The spin magnetization comes out at 0.0 μB per formula unit. The value obtained for the energy above the most stable polymorph in this dataset is 217 meV/atom. The volume comes out at 29.7 Å³ per atom. The formation enthalpy at 0 K comes out at -0.20 eV/atom. For the total energy, the calculation gives -13.01 eV for the cell shown.

***

An optimized crystal structure of Ca2LaAu3, computed with GGA-PBE.

```
data_Ca2LaAu3
_chemical_formula_sum 'Ca2 La1 Au3'
_symmetry_space_group_name_H-M 'P 1'
_symmetry_Int_Tables_number 1
_symmetry_space_group_name_Hall 'P 1'
_cell_length_a 8.2537
_cell_length_b 8.2537
_cell_length_c 3.6991
_cell_angle_alpha 90.00
_cell_angle_beta 90.00
_cell_angle_gamma 143.18
loop_
_atom_site_label
_atom_site_fract_x
_atom_site_fract_y
_atom_site_fract_z
Ca1 0.1700 0.8300 0.0000
Ca2 0.8300 0.1700 0.0000
La1 0.5000 0.5000 0.0000
Au1 0.0000 0.0000 0.5000
Au2 0.3344 0.6656 0.5000
Au3 0.6656 0.3344 0.5000
```

Output
The spin magnetization comes out at 0.0 μB per formula unit. The value obtained for the energy above the most stable polymorph in this dataset is 0 meV/atom. The volume comes out at 25.2 Å³ per atom. The formation enthalpy at 0 K comes out at -0.79 eV/atom. For the total energy, the calculation gives -23.53 eV for the cell shown.

***

An optimized crystal structure of Ca2LaAu, computed with GGA-PBE.

```
data_Ca2LaAu
_chemical_formula_sum 'Ca2 La1 Au1'
_symmetry_space_group_name_H-M 'P 1'
_symmetry_Int_Tables_number 1
_symmetry_space_group_name_Hall 'P 1'
_cell_length_a 10.5286
_cell_length_b 10.5286
_cell_length_c 10.5286
_cell_angle_alpha 22.31
_cell_angle_beta 22.31
_cell_angle_gamma 22.31
loop_
_atom_site_label
_atom_site_fract_x
_atom_site_fract_y
_atom_site_fract_z
Ca1 0.0000 0.0000 0.0000
Ca2 0.2264 0.2264 0.2264
La1 0.4557 0.4557 0.4557
Au1 0.7266 0.7266 0.7266
```

Output
The spin magnetization comes out at 0.2 μB per formula unit. The value obtained for the energy above the most stable polymorph in this dataset is 108 meV/atom. The volume comes out at 36.9 Å³ per atom. The formation enthalpy at 0 K comes out at -0.31 eV/atom. For the total energy, the calculation gives -13.44 eV for the cell shown.

***

An optimized crystal structure of Ca2LaAu2, computed with GGA-PBE.

```
data_Ca2LaAu2
_chemical_formula_sum 'Ca4 La2 Au4'
_symmetry_space_group_name_H-M 'P 1'
_symmetry_Int_Tables_number 1
_symmetry_space_group_name_Hall 'P 1'
_cell_length_a 5.8330
_cell_length_b 4.8020
_cell_length_c 10.9889
_cell_angle_alpha 90.00
_cell_angle_beta 97.50
_cell_angle_gamma 90.00
loop_
_atom_site_label
_atom_site_fract_x
_atom_site_fract_y
_atom_site_fract_z
Ca1 0.1139 0.2500 0.3788
Ca2 0.2437 0.2500 0.0378
Ca3 0.7563 0.7500 0.9622
Ca4 0.8861 0.7500 0.6212
La1 0.3961 0.2500 0.7091
La2 0.6039 0.7500 0.2909
Au1 0.2326 0.7500 0.8607
Au2 0.3579 0.7500 0.5253
Au3 0.6421 0.2500 0.4747
Au4 0.7674 0.2500 0.1393
```

Output
The spin magnetization comes out at 0.0 μB per formula unit. The value obtained for the energy above the most stable polymorph in this dataset is 18 meV/atom. The volume comes out at 30.5 Å³ per atom. The formation enthalpy at 0 K comes out at -0.64 eV/atom. For the total energy, the calculation gives -37.37 eV for the cell shown.

***

An optimized crystal structure of LiCa2LaAu, computed with GGA-PBE.

```
data_LiCa2LaAu
_chemical_formula_sum 'Li1 Ca2 La1 Au1'
_symmetry_space_group_name_H-M 'P 1'
_symmetry_Int_Tables_number 1
_symmetry_space_group_name_Hall 'P 1'
_cell_length_a 5.8014
_cell_length_b 5.8014
_cell_length_c 5.7543
_cell_angle_alpha 90.00
_cell_angle_beta 90.00
_cell_angle_gamma 90.00
loop_
_atom_site_label
_atom_site_fract_x
_atom_site_fract_y
_atom_site_fract_z
Li1 0.0000 0.0000 0.0000
Ca1 0.0000 0.5000 0.5000
Ca2 0.5000 0.0000 0.5000
La1 0.5000 0.5000 0.0000
Au1 0.5000 0.5000 0.5000
```

Output
The spin magnetization comes out at 0.0 μB per formula unit. The volume comes out at 38.7 Å³ per atom. The formation enthalpy at 0 K comes out at -0.18 eV/atom. For the total energy, the calculation gives -15.04 eV for the cell shown.

***

An optimized crystal structure of Li2CaLaAu4, computed with GGA-PBE.

```
data_Li2CaLaAu4
_chemical_formula_sum 'Li2 Ca1 La1 Au4'
_symmetry_space_group_name_H-M 'P 1'
_symmetry_Int_Tables_number 1
_symmetry_space_group_name_Hall 'P 1'
_cell_length_a 9.9928
_cell_length_b 9.9928
_cell_length_c 9.9928
_cell_angle_alpha 26.66
_cell_angle_beta 26.66
_cell_angle_gamma 26.66
loop_
_atom_site_label
_atom_site_fract_x
_atom_site_fract_y
_atom_site_fract_z
Li1 0.2453 0.2453 0.2453
Li2 0.7547 0.7547 0.7547
Ca1 0.5000 0.5000 0.5000
La1 0.0000 0.0000 0.0000
Au1 0.1092 0.1092 0.1092
Au2 0.3932 0.3932 0.3932
Au3 0.6068 0.6068 0.6068
Au4 0.8908 0.8908 0.8908
```

Output
The spin magnetization comes out at 0.0 μB per formula unit. The volume comes out at 22.1 Å³ per atom. The formation enthalpy at 0 K comes out at -0.69 eV/atom. For the total energy, the calculation gives -29.40 eV for the cell shown.

***

An optimized crystal structure of CaLaMo2Au, computed with GGA-PBE.

```
data_CaLaMo2Au
_chemical_formula_sum 'Ca1 La1 Mo2 Au1'
_symmetry_space_group_name_H-M 'P 1'
_symmetry_Int_Tables_number 1
_symmetry_space_group_name_Hall 'P 1'
_cell_length_a 5.0763
_cell_length_b 5.0763
_cell_length_c 5.5420
_cell_angle_alpha 90.00
_cell_angle_beta 90.00
_cell_angle_gamma 90.00
loop_
_atom_site_label
_atom_site_fract_x
_atom_site_fract_y
_atom_site_fract_z
Ca1 0.0000 0.0000 0.0000
La1 0.5000 0.5000 0.0000
Mo1 0.0000 0.5000 0.5000
Mo2 0.5000 0.0000 0.5000
Au1 0.5000 0.5000 0.5000
```

Output
The spin magnetization comes out at 0.6 μB per formula unit. The volume comes out at 28.6 Å³ per atom. The formation enthalpy at 0 K comes out at 1.22 eV/atom. For the total energy, the calculation gives -25.77 eV for the cell shown.

***

An optimized crystal structure of Ca2LaAuN, computed with GGA-PBE.

```
data_Ca2LaAuN
_chemical_formula_sum 'Ca2 La1 Au1 N1'
_symmetry_space_group_name_H-M 'P 1'
_symmetry_Int_Tables_number 1
_symmetry_space_group_name_Hall 'P 1'
_cell_length_a 4.7956
_cell_length_b 4.7956
_cell_length_c 5.1455
_cell_angle_alpha 90.00
_cell_angle_beta 90.00
_cell_angle_gamma 90.00
loop_
_atom_site_label
_atom_site_fract_x
_atom_site_fract_y
_atom_site_fract_z
Ca1 0.0000 0.5000 0.0000
Ca2 0.5000 0.0000 0.0000
La1 0.0000 0.0000 0.5000
Au1 0.5000 0.5000 0.5000
N1 0.0000 0.0000 0.0000
```

Output
The spin magnetization comes out at 0.0 μB per formula unit. The volume comes out at 23.7 Å³ per atom. As for the formation energy from raw total energies: -0.78 eV/atom. For the total energy, the calculation gives -24.44 eV for the cell shown.

***

An optimized crystal structure of CaLa2AuN, computed with GGA-PBE.

```
data_CaLa2AuN
_chemical_formula_sum 'Ca1 La2 Au1 N1'
_symmetry_space_group_name_H-M 'P 1'
_symmetry_Int_Tables_number 1
_symmetry_space_group_name_Hall 'P 1'
_cell_length_a 5.0716
_cell_length_b 5.0716
_cell_length_c 4.8125
_cell_angle_alpha 90.00
_cell_angle_beta 90.00
_cell_angle_gamma 90.00
loop_
_atom_site_label
_atom_site_fract_x
_atom_site_fract_y
_atom_site_fract_z
Ca1 0.0000 0.0000 0.0000
La1 0.0000 0.5000 0.5000
La2 0.5000 0.0000 0.5000
Au1 0.5000 0.5000 0.0000
N1 0.0000 0.0000 0.5000
```

Output
The spin magnetization comes out at 0.0 μB per formula unit. The volume comes out at 24.8 Å³ per atom. As for the formation energy from raw total energies: -0.81 eV/atom. For the total energy, the calculation gives -27.48 eV for the cell shown.

***

An optimized crystal structure of NaCaLaAu, computed with GGA-PBE.

```
data_NaCaLaAu
_chemical_formula_sum 'Na1 Ca1 La1 Au1'
_symmetry_space_group_name_H-M 'P 1'
_symmetry_Int_Tables_number 1
_symmetry_space_group_name_Hall 'P 1'
_cell_length_a 5.4188
_cell_length_b 5.4188
_cell_length_c 5.4188
_cell_angle_alpha 60.00
_cell_angle_beta 60.00
_cell_angle_gamma 60.00
loop_
_atom_site_label
_atom_site_fract_x
_atom_site_fract_y
_atom_site_fract_z
Na1 0.0000 0.0000 0.0000
Ca1 0.7500 0.7500 0.7500
La1 0.2500 0.2500 0.2500
Au1 0.5000 0.5000 0.5000
```

Output
The spin magnetization comes out at 0.0 μB per formula unit. The volume comes out at 28.1 Å³ per atom. The formation enthalpy at 0 K comes out at -0.28 eV/atom. For the total energy, the calculation gives -12.63 eV for the cell shown.

***

| no. | Fermi-level density of states (states/eV per cell) |
| --- | --- |
| 1 | 2.15 |
| 2 | 4.37 |
| 3 | 5.76 |
| 4 | 8.22 |
| 5 | 4.68 |
| 6 | 4.63 |
| 7 | 7.29 |
| 8 | 5.10 |
| 9 | 5.08 |
| 10 | 3.67 |